This record from the Alexandria database describes a relaxed structure of PrErNp2As4. The functional is PBE-GGA.

The value obtained for the formation energy is -1055 meV/atom.

Cell and atoms, written as POSCAR:
```
PrErNp2As4
1.0
7.195 0.000 0.000
0.000 4.130 0.000
-2.370 0.000 6.796
Pr Er Np As
1 1 2 4
direct
0.000 0.000 0.000
0.000 0.500 0.500
0.500 0.000 0.500
0.500 0.500 0.000
0.255 0.000 0.745
0.260 0.500 0.260
0.740 0.500 0.740
0.745 0.000 0.255
```